Record 1
Here is crystalline MgSc3Pd3 at its relaxed geometry from the Alexandria database. Energies are from PBE.

Calculated values
The formation energy from the elements comes out at -0.6639 eV/atom. The space group is Cmmm, No. 65. As for the crystal system: orthorhombic. For the total magnetization, the calculation gives 0.00 μB/cell.

extended XYZ file:
```
14
Lattice="-1.2050 -5.5636 3.2727 5.7517 0.5990 3.1104 -2.8553 3.3453 4.6352" Properties=species:S:1:pos:R:3 pbc="T T T"
Sc 2.5785 0.7254 5.4687
Pd -0.4730 -2.7523 8.3081
Pd 3.0053 0.3290 8.2270
Sc 1.9689 -2.0360 7.0857
Pd -1.3139 -1.9482 2.7912
Mg 1.1310 -1.2349 1.5880
Mg 0.5604 -0.3843 9.4303
Pd 2.4228 -2.4761 9.8309
Sc 3.9860 -0.9651 3.1516
Pd -0.7314 0.8569 1.1874
Sc -0.2775 0.4168 3.9325
Sc -0.8870 -2.3446 5.5495
Pd 2.1644 1.1330 2.7101
Sc 0.5608 -3.9994 3.2315
```

***

Record 2
Here is crystalline Na2LiCe3Se6 at its relaxed geometry from the Alexandria database. Energies are from PBE.

Calculated values
Its formation energy without anion corrections is -1.6015 eV/atom. The space group is C2/m, No. 12. As for the crystal system: monoclinic. For the total magnetization, the calculation gives 1.04 μB/cell.

extended XYZ file:
```
12
Lattice="-1.9048 -2.5146 -6.7259 2.9991 -4.6238 4.9814 -6.5682 0.8648 2.9071" Properties=species:S:1:pos:R:3 pbc="T T T"
Se -3.2584 -5.0624 2.7711
Se -4.6102 -1.0855 1.7355
Se -0.6075 -1.9027 2.2300
Li 0.0000 0.0000 0.0000
Ce -1.1064 -3.8381 4.4739
Se -2.2154 -1.2112 -1.6086
Ce -4.3674 -2.4355 -3.3113
Na -0.2671 -3.2189 -2.8163
Na 1.3615 -3.9194 1.0718
Ce -2.7369 -3.1368 0.5813
Se -0.8636 -5.1880 -0.5729
Se -4.8663 -4.3708 -1.0674
```

***

E_tot values (in eV/atom) by entry order: -5.831, -5.207.